VASP calculation (GGA-PBE) on a relaxed Li6ZnPt crystal.

Volume: 122 Å³/cell
Energy of formation: -5.32 kcal/mol of atoms
Energy: -20.6 eV per cell
SG: No. 2
N(E_F): 3.12 states/eV/f.u.

extended XYZ file:
```
8
Lattice="6.980 -0.042 0.057 3.438 6.021 0.002 3.473 1.989 2.921" Properties=species:S:1:pos:R:3 pbc="T T T"
Zn 0.000 0.000 0.000
Li 5.213 2.019 0.723
Li 2.555 3.480 0.703
Li 6.088 6.489 0.721
Li 7.802 1.480 2.259
Li 11.336 4.488 2.277
Li 8.678 5.950 2.257
Pt 6.945 3.984 1.490
```